# La2Pr4Y3

La2Pr4Y3 after structural relaxation (GGA-PBE, the Alexandria database).

Summary:
SG = C2/m
size of the total moment = 0.000 μB per cell
uncorrected energy = -5.36 eV/atom

Structure (CIF):
```
data_La2Pr4Y3
_chemical_formula_sum 'La2 Pr4 Y3'
_space_group_name_H-M_alt 'P 1'
_space_group_IT_number 1
_cell_length_a 5.212
_cell_length_b 8.203
_cell_length_c 8.215
_cell_angle_alpha 107.66
_cell_angle_beta 108.49
_cell_angle_gamma 90.00
loop_
_space_group_symop_operation_xyz
'x,y,z'
loop_
_atom_site_label
_atom_site_fract_x
_atom_site_fract_y
_atom_site_fract_z
_atom_site_occupancy
La1 0.334 0.000 0.667 1
La2 0.666 0.000 0.333 1
Pr1 0.555 0.335 0.110 1
Pr2 0.778 0.666 0.556 1
Pr3 0.445 0.665 0.890 1
Pr4 0.222 0.334 0.444 1
Y1 0.890 0.334 0.780 1
Y2 0.110 0.666 0.220 1
Y3 0.000 0.000 0.000 1
```

# La4PrY2

La4PrY2 after structural relaxation (GGA-PBE, the Alexandria database).

Summary:
SG = Cc
size of the total moment = 0.000 μB per cell
uncorrected energy = -5.28 eV/atom

Structure (CIF):
```
data_La4PrY2
_chemical_formula_sum 'La8 Pr2 Y4'
_space_group_name_H-M_alt 'P 1'
_space_group_IT_number 1
_cell_length_a 12.826
_cell_length_b 12.826
_cell_length_c 6.964
_cell_angle_alpha 96.99
_cell_angle_beta 96.99
_cell_angle_gamma 150.27
loop_
_space_group_symop_operation_xyz
'x,y,z'
loop_
_atom_site_label
_atom_site_fract_x
_atom_site_fract_y
_atom_site_fract_z
_atom_site_occupancy
La1 0.721 0.186 0.876 1
La2 0.186 0.721 0.376 1
La3 0.186 0.789 0.912 1
La4 0.789 0.186 0.412 1
La5 0.024 0.128 0.589 1
La6 0.560 0.594 0.123 1
La7 0.594 0.560 0.623 1
La8 0.128 0.024 0.089 1
Pr1 0.426 0.677 0.500 1
Pr2 0.677 0.426 0.000 1
Y1 0.624 0.310 0.448 1
Y2 0.926 0.111 0.052 1
Y3 0.111 0.926 0.552 1
Y4 0.310 0.624 0.948 1
```

# La6PrY2

La6PrY2 after structural relaxation (GGA-PBE, the Alexandria database).

Summary:
SG = P-31m
size of the total moment = 0.013 μB per cell
uncorrected energy = -4.86 eV/atom

Structure (CIF):
```
data_La6PrY2
_chemical_formula_sum 'La6 Pr1 Y2'
_space_group_name_H-M_alt 'P 1'
_space_group_IT_number 1
_cell_length_a 9.469
_cell_length_b 6.611
_cell_length_c 6.611
_cell_angle_alpha 120.00
_cell_angle_beta 90.00
_cell_angle_gamma 90.00
loop_
_space_group_symop_operation_xyz
'x,y,z'
loop_
_atom_site_label
_atom_site_fract_x
_atom_site_fract_y
_atom_site_fract_z
_atom_site_occupancy
La1 0.204 0.000 0.361 1
La2 0.204 0.639 0.639 1
La3 0.796 0.000 0.639 1
La4 0.796 0.639 0.000 1
La5 0.796 0.361 0.361 1
La6 0.204 0.361 0.000 1
Pr1 0.000 0.000 0.000 1
Y1 0.500 0.667 0.333 1
Y2 0.500 0.333 0.667 1
```

# LaPr3Y8

LaPr3Y8 after structural relaxation (GGA-PBE, the Alexandria database).

Summary:
SG = Cm
size of the total moment = 0.000 μB per cell
uncorrected energy = -5.90 eV/atom

Structure (CIF):
```
data_LaPr3Y8
_chemical_formula_sum 'La1 Pr3 Y8'
_space_group_name_H-M_alt 'P 1'
_space_group_IT_number 1
_cell_length_a 8.073
_cell_length_b 7.249
_cell_length_c 7.249
_cell_angle_alpha 90.14
_cell_angle_beta 102.88
_cell_angle_gamma 102.88
loop_
_space_group_symop_operation_xyz
'x,y,z'
loop_
_atom_site_label
_atom_site_fract_x
_atom_site_fract_y
_atom_site_fract_z
_atom_site_occupancy
La1 0.420 0.126 0.126 1
Pr1 0.417 0.625 0.124 1
Pr2 0.417 0.124 0.625 1
Pr3 0.081 0.791 0.791 1
Y1 0.753 0.459 0.459 1
Y2 0.416 0.625 0.625 1
Y3 0.081 0.790 0.291 1
Y4 0.081 0.291 0.790 1
Y5 0.083 0.292 0.292 1
Y6 0.751 0.958 0.958 1
Y7 0.752 0.459 0.959 1
Y8 0.752 0.959 0.459 1
```

# La2Pr5Y5

La2Pr5Y5 after structural relaxation (GGA-PBE, the Alexandria database).

Summary:
SG = Pmmm
size of the total moment = 0.000 μB per cell
uncorrected energy = -5.24 eV/atom

Structure (CIF):
```
data_La2Pr5Y5
_chemical_formula_sum 'La2 Pr5 Y5'
_space_group_name_H-M_alt 'P 1'
_space_group_IT_number 1
_cell_length_a 5.843
_cell_length_b 6.674
_cell_length_c 11.534
_cell_angle_alpha 90.00
_cell_angle_beta 90.00
_cell_angle_gamma 90.00
loop_
_space_group_symop_operation_xyz
'x,y,z'
loop_
_atom_site_label
_atom_site_fract_x
_atom_site_fract_y
_atom_site_fract_z
_atom_site_occupancy
La1 0.000 0.500 0.000 1
La2 0.000 0.000 0.500 1
Pr1 0.500 0.500 0.500 1
Pr2 0.500 0.747 0.245 1
Pr3 0.500 0.253 0.755 1
Pr4 0.500 0.253 0.245 1
Pr5 0.500 0.747 0.755 1
Y1 0.000 0.500 0.335 1
Y2 0.000 0.000 0.837 1
Y3 0.000 0.000 0.163 1
Y4 0.000 0.500 0.665 1
Y5 0.500 0.000 0.000 1
```

# La4Pr2Y3

La4Pr2Y3 after structural relaxation (GGA-PBE, the Alexandria database).

Summary:
SG = C2/m
size of the total moment = 0.000 μB per cell
uncorrected energy = -5.39 eV/atom

Structure (CIF):
```
data_La4Pr2Y3
_chemical_formula_sum 'La4 Pr2 Y3'
_space_group_name_H-M_alt 'P 1'
_space_group_IT_number 1
_cell_length_a 5.224
_cell_length_b 8.210
_cell_length_c 8.225
_cell_angle_alpha 107.64
_cell_angle_beta 108.51
_cell_angle_gamma 90.00
loop_
_space_group_symop_operation_xyz
'x,y,z'
loop_
_atom_site_label
_atom_site_fract_x
_atom_site_fract_y
_atom_site_fract_z
_atom_site_occupancy
La1 0.555 0.333 0.110 1
La2 0.778 0.666 0.556 1
La3 0.445 0.667 0.890 1
La4 0.222 0.334 0.444 1
Pr1 0.333 0.999 0.667 1
Pr2 0.667 0.001 0.333 1
Y1 0.889 0.331 0.778 1
Y2 0.111 0.669 0.222 1
Y3 0.000 0.000 0.000 1
```

# LaPr2Y12

LaPr2Y12 after structural relaxation (GGA-PBE, the Alexandria database).

Summary:
SG = Cmme
size of the total moment = 0.000 μB per cell
uncorrected energy = -5.97 eV/atom

Structure (CIF):
```
data_LaPr2Y12
_chemical_formula_sum 'La2 Pr4 Y24'
_space_group_name_H-M_alt 'P 1'
_space_group_IT_number 1
_cell_length_a 6.742
_cell_length_b 6.742
_cell_length_c 25.153
_cell_angle_alpha 90.00
_cell_angle_beta 90.00
_cell_angle_gamma 116.66
loop_
_space_group_symop_operation_xyz
'x,y,z'
loop_
_atom_site_label
_atom_site_fract_x
_atom_site_fract_y
_atom_site_fract_z
_atom_site_occupancy
La1 0.500 0.000 0.998 1
La2 0.000 0.500 0.002 1
Pr1 0.500 0.000 0.267 1
Pr2 0.000 0.500 0.273 1
Pr3 0.000 0.500 0.733 1
Pr4 0.500 0.000 0.727 1
Y1 0.500 0.500 0.799 1
Y2 0.000 0.000 0.799 1
Y3 0.754 0.746 0.920 1
Y4 0.251 0.751 0.870 1
Y5 0.000 0.000 0.329 1
Y6 0.249 0.749 0.130 1
Y7 0.760 0.260 0.583 1
Y8 0.500 0.500 0.329 1
Y9 0.246 0.254 0.920 1
Y10 0.746 0.754 0.080 1
Y11 0.263 0.237 0.560 1
Y12 0.740 0.240 0.417 1
Y13 0.000 0.000 0.671 1
Y14 0.237 0.263 0.440 1
Y15 0.254 0.246 0.080 1
Y16 0.763 0.737 0.440 1
Y17 0.737 0.763 0.560 1
Y18 0.000 0.000 0.201 1
Y19 0.240 0.740 0.583 1
Y20 0.500 0.500 0.671 1
Y21 0.749 0.249 0.870 1
Y22 0.500 0.500 0.201 1
Y23 0.260 0.760 0.417 1
Y24 0.751 0.251 0.130 1
```

# La3PrY2

La3PrY2 after structural relaxation (GGA-PBE, the Alexandria database).

Summary:
SG = C2/c
size of the total moment = 0.000 μB per cell
uncorrected energy = -5.40 eV/atom

Structure (CIF):
```
data_La3PrY2
_chemical_formula_sum 'La6 Pr2 Y4'
_space_group_name_H-M_alt 'P 1'
_space_group_IT_number 1
_cell_length_a 6.366
_cell_length_b 6.366
_cell_length_c 12.233
_cell_angle_alpha 110.38
_cell_angle_beta 110.38
_cell_angle_gamma 70.26
loop_
_space_group_symop_operation_xyz
'x,y,z'
loop_
_atom_site_label
_atom_site_fract_x
_atom_site_fract_y
_atom_site_fract_z
_atom_site_occupancy
La1 0.792 0.541 0.583 1
La2 0.459 0.208 0.917 1
La3 0.208 0.459 0.417 1
La4 0.541 0.792 0.083 1
La5 0.625 0.375 0.250 1
La6 0.375 0.625 0.750 1
Pr1 0.125 0.875 0.250 1
Pr2 0.875 0.125 0.750 1
Y1 0.041 0.291 0.082 1
Y2 0.709 0.959 0.418 1
Y3 0.959 0.709 0.918 1
Y4 0.291 0.041 0.582 1
```

# La7PrY12

La7PrY12 after structural relaxation (GGA-PBE, the Alexandria database).

Summary:
SG = Im-3
size of the total moment = 0.001 μB per cell
uncorrected energy = -5.25 eV/atom

Structure (CIF):
```
data_La7PrY12
_chemical_formula_sum 'La7 Pr1 Y12'
_space_group_name_H-M_alt 'P 1'
_space_group_IT_number 1
_cell_length_a 9.877
_cell_length_b 9.877
_cell_length_c 9.877
_cell_angle_alpha 109.47
_cell_angle_beta 109.47
_cell_angle_gamma 109.47
loop_
_space_group_symop_operation_xyz
'x,y,z'
loop_
_atom_site_label
_atom_site_fract_x
_atom_site_fract_y
_atom_site_fract_z
_atom_site_occupancy
La1 0.500 0.500 0.000 1
La2 0.000 0.500 0.500 1
La3 0.500 0.000 0.500 1
La4 0.500 0.500 0.500 1
La5 0.000 0.000 0.500 1
La6 0.500 0.000 0.000 1
La7 0.000 0.500 0.000 1
Pr1 0.000 0.000 0.000 1
Y1 0.502 0.751 0.751 1
Y2 0.999 0.751 0.249 1
Y3 0.498 0.249 0.249 1
Y4 0.001 0.249 0.751 1
Y5 0.751 0.001 0.249 1
Y6 0.751 0.502 0.751 1
Y7 0.249 0.999 0.751 1
Y8 0.249 0.498 0.249 1
Y9 0.751 0.751 0.502 1
Y10 0.249 0.249 0.498 1
Y11 0.751 0.249 0.999 1
Y12 0.249 0.751 0.001 1
```

> Number 8 is which compound?

La3PrY2